# 1
CdP2IrO after structural relaxation. Source: the Alexandria database, functional PBE.

## Properties
The value obtained for the uncorrected formation energy is 1.419 eV/atom. The total energy is -3.6921 eV per atom. Its energy above the lowest structure with this stoichiometry is 6.06 eV per formula unit. As for the space-group type: P4/mmm (123).

Lattice parameters (Å, degrees): 4.9256 4.9256 3.8216 90.00 90.00 90.00
Fractional positions:
Cd 0.0000 0.0000 0.0000
P 0.0000 0.5000 0.0000
P 0.5000 0.0000 0.0000
Ir 0.5000 0.5000 0.5000
O 0.0000 0.0000 0.5000

# 2
Cd2IrPbO8 after structural relaxation. Source: the Alexandria database, functional PBE.

## Properties
The value obtained for the uncorrected formation energy is -0.664 eV/atom. The total energy is -5.1699 eV per atom. As for the space-group type: P2/m (10).

Lattice parameters (Å, degrees): 4.9851 6.7756 5.0026 90.00 92.99 90.00
Fractional positions:
Cd 0.0000 0.2447 0.0000
Cd 0.0000 0.7553 0.0000
Ir 0.5000 0.0000 0.5000
Pb 0.5000 0.5000 0.5000
O 0.2010 0.5000 0.1984
O 0.2302 0.0000 0.2275
O 0.3202 0.2101 0.6763
O 0.3202 0.7899 0.6763
O 0.6798 0.2101 0.3237
O 0.6798 0.7899 0.3237
O 0.7698 0.0000 0.7725
O 0.7990 0.5000 0.8016

# 3
PmCd2IrO6 after structural relaxation. Source: the Alexandria database, functional PBE.

## Properties
The value obtained for the uncorrected formation energy is -1.472 eV/atom. The total energy is -5.9910 eV per atom. As for the space-group type: P2_1/c (14).

Lattice parameters (Å, degrees): 5.7032 5.7772 9.9840 90.00 124.82 90.00
Fractional positions:
Pm 0.0000 0.0000 0.0000
Pm 0.0000 0.5000 0.5000
Cd 0.2461 0.0392 0.7441
Cd 0.2461 0.4608 0.2441
Cd 0.7539 0.5392 0.7559
Cd 0.7539 0.9608 0.2559
Ir 0.5000 0.0000 0.5000
Ir 0.5000 0.5000 0.0000
O 0.1621 0.0705 0.2739
O 0.1621 0.4295 0.7739
O 0.2587 0.6664 0.0518
O 0.2587 0.8336 0.5518
O 0.4109 0.2118 0.0694
O 0.4109 0.2882 0.5694
O 0.5891 0.7118 0.4306
O 0.5891 0.7882 0.9306
O 0.7413 0.1664 0.4482
O 0.7413 0.3336 0.9482
O 0.8379 0.5705 0.2261
O 0.8379 0.9295 0.7261

# 4
Pm2CdIrO8 after structural relaxation. Source: the Alexandria database, functional PBE.

## Properties
The value obtained for the uncorrected formation energy is -1.715 eV/atom. The total energy is -6.6272 eV per atom. As for the space-group type: P-1 (2).

Lattice parameters (Å, degrees): 4.8024 4.9400 7.3537 92.15 91.82 93.74
Fractional positions:
Pm 0.0555 0.0446 0.2477
Pm 0.9445 0.9554 0.7523
Cd 0.5000 0.5000 0.0000
Ir 0.5000 0.5000 0.5000
O 0.1957 0.1956 0.9756
O 0.2115 0.2339 0.5422
O 0.2777 0.6377 0.3095
O 0.3647 0.7366 0.6845
O 0.6353 0.2634 0.3155
O 0.7223 0.3623 0.6905
O 0.7885 0.7661 0.4578
O 0.8043 0.8044 0.0244

# 5
Cd2IrPtO6 after structural relaxation. Source: the Alexandria database, functional PBE.

## Properties
The value obtained for the uncorrected formation energy is -0.415 eV/atom. The total energy is -5.0636 eV per atom. As for the space-group type: P4mm (99).

Lattice parameters (Å, degrees): 5.5460 5.5460 4.3803 90.00 90.00 90.00
Fractional positions:
Cd 0.0000 0.5000 0.0000
Cd 0.5000 0.0000 0.0000
Ir 0.0000 0.0000 0.5741
Pt 0.5000 0.5000 0.6008
O 0.0000 0.0000 0.1510
O 0.2416 0.2416 0.6935
O 0.2416 0.7584 0.6935
O 0.5000 0.5000 0.1289
O 0.7584 0.2416 0.6935
O 0.7584 0.7584 0.6935

# 6
CdIrPtO6 after structural relaxation. Source: the Alexandria database, functional PBE.

## Properties
The value obtained for the uncorrected formation energy is -0.645 eV/atom. The total energy is -5.7075 eV per atom. As for the space-group type: P-31c (163).

Lattice parameters (Å, degrees): 5.2884 5.2884 9.5991 90.00 90.00 120.00
Fractional positions:
Cd 0.0000 0.0000 0.0000
Cd 0.0000 0.0000 0.5000
Ir 0.3333 0.6667 0.2500
Ir 0.6667 0.3333 0.7500
Pt 0.3333 0.6667 0.7500
Pt 0.6667 0.3333 0.2500
O 0.0075 0.3692 0.1390
O 0.0075 0.6383 0.3610
O 0.3617 0.3692 0.3610
O 0.3617 0.9925 0.1390
O 0.3692 0.0075 0.6390
O 0.3692 0.3617 0.8610
O 0.6308 0.6383 0.1390
O 0.6308 0.9925 0.3610
O 0.6383 0.0075 0.8610
O 0.6383 0.6308 0.6390
O 0.9925 0.3617 0.6390
O 0.9925 0.6308 0.8610

# 7
PuCdIrO6 after structural relaxation. Source: the Alexandria database, functional PBE.

## Properties
The value obtained for the uncorrected formation energy is -1.592 eV/atom. The total energy is -7.5762 eV per atom. As for the space-group type: P-31c (163).

Lattice parameters (Å, degrees): 5.2434 5.2434 10.2609 90.00 90.00 120.00
Fractional positions:
Pu 0.3333 0.6667 0.2500
Pu 0.6667 0.3333 0.7500
Cd 0.0000 0.0000 0.0000
Cd 0.0000 0.0000 0.5000
Ir 0.3333 0.6667 0.7500
Ir 0.6667 0.3333 0.2500
O 0.0098 0.3556 0.6383
O 0.0098 0.6542 0.8617
O 0.3458 0.3556 0.8617
O 0.3458 0.9902 0.6383
O 0.3556 0.0098 0.1383
O 0.3556 0.3458 0.3617
O 0.6444 0.6542 0.6383
O 0.6444 0.9902 0.8617
O 0.6542 0.0098 0.3617
O 0.6542 0.6444 0.1383
O 0.9902 0.3458 0.1383
O 0.9902 0.6444 0.3617

# 8
Rb2CdIrO4 after structural relaxation. Source: the Alexandria database, functional PBE.

## Properties
The value obtained for the uncorrected formation energy is -0.998 eV/atom. The total energy is -4.9409 eV per atom. As for the space-group type: I-4 (82).

Lattice parameters (Å, degrees): 6.4218 6.4218 7.3154 90.00 90.00 90.00
Fractional positions:
Rb 0.0000 0.0000 0.0000
Rb 0.0000 0.5000 0.2500
Rb 0.5000 0.0000 0.7500
Rb 0.5000 0.5000 0.5000
Cd 0.0000 0.5000 0.7500
Cd 0.5000 0.0000 0.2500
Ir 0.0000 0.0000 0.5000
Ir 0.5000 0.5000 0.0000
O 0.1330 0.7361 0.5514
O 0.2361 0.3670 0.9486
O 0.2639 0.1330 0.4486
O 0.3670 0.7639 0.0514
O 0.6330 0.2361 0.0514
O 0.7361 0.8670 0.4486
O 0.7639 0.6330 0.9486
O 0.8670 0.2639 0.5514

# 9
Rb2Cd2IrO6 after structural relaxation. Source: the Alexandria database, functional PBE.

## Properties
The value obtained for the uncorrected formation energy is -1.030 eV/atom. The total energy is -4.8823 eV per atom. As for the space-group type: C2/m (12).

Lattice parameters (Å, degrees): 5.7837 5.7837 6.7563 99.15 99.15 118.26
Fractional positions:
Rb 0.1751 0.8249 0.0000
Rb 0.8249 0.1751 0.0000
Cd 0.3375 0.6625 0.5000
Cd 0.6625 0.3375 0.5000
Ir 0.0000 0.0000 0.5000
O 0.0555 0.3411 0.6687
O 0.2179 0.2179 0.3306
O 0.3411 0.0555 0.6687
O 0.6589 0.9445 0.3313
O 0.7821 0.7821 0.6694
O 0.9445 0.6589 0.3313

# 10
Cd2IrRuO6 after structural relaxation. Source: the Alexandria database, functional PBE.

## Properties
The value obtained for the uncorrected formation energy is -0.584 eV/atom. The total energy is -5.5561 eV per atom. As for the space-group type: P4mm (99).

Lattice parameters (Å, degrees): 5.8396 5.8396 3.7745 90.00 90.00 90.00
Fractional positions:
Cd 0.0000 0.5000 0.0000
Cd 0.5000 0.0000 0.0000
Ir 0.0000 0.0000 0.6295
Ru 0.5000 0.5000 0.6151
O 0.0000 0.0000 0.1349
O 0.2479 0.2479 0.7094
O 0.2479 0.7521 0.7094
O 0.5000 0.5000 0.1254
O 0.7521 0.2479 0.7094
O 0.7521 0.7521 0.7094

# 11
Sc2CdIrO8 after structural relaxation. Source: the Alexandria database, functional PBE.

## Properties
The value obtained for the uncorrected formation energy is -1.743 eV/atom. The total energy is -6.9186 eV per atom. As for the space-group type: P2/m (10).

Lattice parameters (Å, degrees): 4.7655 6.6639 4.7789 90.00 91.54 90.00
Fractional positions:
Sc 0.0000 0.2432 0.0000
Sc 0.0000 0.7568 0.0000
Cd 0.5000 0.0000 0.5000
Ir 0.5000 0.5000 0.5000
O 0.1871 0.0000 0.1860
O 0.2120 0.5000 0.2104
O 0.3052 0.2972 0.6927
O 0.3052 0.7028 0.6927
O 0.6948 0.2972 0.3073
O 0.6948 0.7028 0.3073
O 0.7880 0.5000 0.7896
O 0.8129 0.0000 0.8140

# 12
SrCd2IrO6 after structural relaxation. Source: the Alexandria database, functional PBE.

## Properties
The value obtained for the uncorrected formation energy is -1.238 eV/atom. The total energy is -5.4502 eV per atom. As for the space-group type: P2_1/c (14).

Lattice parameters (Å, degrees): 5.7531 5.8706 10.0792 90.00 124.38 90.00
Fractional positions:
Sr 0.0000 0.0000 0.0000
Sr 0.0000 0.5000 0.5000
Cd 0.2229 0.0301 0.7325
Cd 0.2229 0.4699 0.2325
Cd 0.7771 0.5301 0.7675
Cd 0.7771 0.9699 0.2675
Ir 0.5000 0.0000 0.5000
Ir 0.5000 0.5000 0.0000
O 0.1743 0.1053 0.2858
O 0.1743 0.3947 0.7858
O 0.2409 0.6466 0.0368
O 0.2409 0.8534 0.5368
O 0.4561 0.2247 0.0918
O 0.4561 0.2753 0.5918
O 0.5439 0.7247 0.4082
O 0.5439 0.7753 0.9082
O 0.7591 0.1466 0.4632
O 0.7591 0.3534 0.9632
O 0.8257 0.6053 0.2142
O 0.8257 0.8947 0.7142

| no. | M_tot (μB per atom) |
| --- | --- |
| 1 | 0.00 |
| 2 | 0.00 |
| 3 | 0.20 |
| 4 | 0.00 |
| 5 | 0.00 |
| 6 | 0.29 |
| 7 | 0.11 |
| 8 | 0.38 |
| 9 | 0.07 |
| 10 | 0.05 |
| 11 | 0.00 |
| 12 | 0.25 |